The following is a DFT calculation (GGA+U) of an optimized crystal structure of CdCoF.

Cell lengths 2.956, 3.243, 5.146 Å; angles 90.00, 90.00, 90.00 degrees
Space group Pmm2 (No. 25)
Symmetry-distinct sites (fractional):
Cd1 0.000 0.000 0.000
Co1 0.500 0.500 0.331
F1 0.000 0.500 0.627

The value obtained for the density of states at the Fermi level is 0.6 states/eV/cell. As for the calculated volume: 16.45 Å³ per atom. The calculation puts the energy above the most stable polymorph in this dataset at 98 meV per atom.